Below is a geometry-optimized BaAl2Ag structure, with properties calculated at the PBE level.

The space group is Cmmm (No. 65) and the conventional cell measures 6.133, 10.672 and 3.153 Å, with angles of 90.00, 90.00 and 90.00 degrees. The asymmetric unit holds Ba at (0.000, 0.000, 0.000), Al at (0.250, 0.250, 0.500) and Ag at (0.000, 0.500, 0.000).

The total energy is -2.7534 eV/atom. The energy of formation is 0.3114 eV per atom. The density of states at the Fermi level comes out at 2.78 states/eV/f.u. For the magnetization, the calculation gives 0.00 μB/cell.